DFT (PBE-GGA) results for a relaxed structure of GdMgIn.

```
GdMgIn
1.0
7.578 0.000 0.000
-3.789 6.563 0.000
0.000 0.000 4.646
Gd Mg In
3 3 3
Cartesian
-2.173 3.764 0.000
1.616 2.798 0.000
4.347 0.000 0.000
0.000 0.000 0.000
0.000 4.375 2.323
3.789 2.188 2.323
-0.944 1.636 2.323
1.889 0.000 2.323
2.844 4.927 2.323
```

Output
* mass density: 6.39 g/cm³
* raw total energy: -29.12 eV for the cell shown
* total magnetic moment: 0.0 Bohr magnetons per cell